1.
# HgGeSbH2

A PBEsol-optimized structure of HgGeSbH2 (meta-GGA SCAN, Alexandria).

Calculated values
Final energy   -25.952 eV per atom

Cell lengths 3.9556, 3.9556, 5.6308 Å; angles 90.00, 90.00, 90.00 degrees
Element x y z (fractional)
1 H 0.0000 0.5000 0.0000
2 H 0.5000 0.0000 0.0000
3 Ge 0.0000 0.0000 0.5000
4 Sb 0.0000 0.0000 0.0000
5 Hg 0.5000 0.5000 0.5000

***

2.
# CaAuCl2

A PBEsol-optimized structure of CaAuCl2 (meta-GGA SCAN, Alexandria).

Calculated values
Raw formation energy   -608 meV/atom
Final energy   -24.302 eV per atom
ΔE to the lowest computed polymorph   58.3 kJ per mole of atoms

Cell lengths 4.1173, 4.1173, 8.1218 Å; angles 75.32, 75.32, 60.00 degrees
Element x y z (fractional)
1 Cl 0.1110 0.1110 0.6670
2 Au 0.5000 0.5000 0.5000
3 Ca 0.0000 0.0000 0.0000
4 Cl 0.8890 0.8890 0.3330

***

3.
# ScCdPb2

A PBEsol-optimized structure of ScCdPb2 (meta-GGA SCAN, Alexandria).

Calculated values
Energy relative to the elements   -0.88 eV per formula unit
Final energy   -49.272 eV per atom

Cell lengths 3.4821, 4.9461, 6.0616 Å; angles 90.00, 106.73, 90.00 degrees
Element x y z (fractional)
1 Sc 0.2911 0.0000 0.4553
2 Pb 0.0252 0.0000 0.9265
3 Cd 0.4549 0.5000 0.7864
4 Pb 0.7288 0.5000 0.3318

***

4.
# Fe8O9

A PBEsol-optimized structure of Fe8O9 (meta-GGA SCAN, Alexandria).

Calculated values
Raw formation energy   -1338 meV/atom
Final energy   -13.169 eV per atom
ΔE to the lowest computed polymorph   6.0 kJ per mole of atoms

Cell lengths 5.0017, 5.2461, 6.3994 Å; angles 84.77, 73.63, 83.23 degrees
Element x y z (fractional)
1 Fe 0.6886 0.3306 0.3124
2 O 0.9296 0.8569 0.7300
3 O 0.8470 0.6547 0.1534
4 Fe 0.5818 0.1106 0.7658
5 O 0.5745 0.2582 0.0439
6 O 0.0704 0.1431 0.2700
7 O 0.7176 0.4674 0.6108
8 Fe 0.0723 0.2040 0.5866
9 Fe 0.2117 0.4524 0.1122
10 Fe 0.7883 0.5476 0.8878
11 O 0.4255 0.7418 0.9561
12 O 0.2824 0.5326 0.3892
13 O 0.5000 0.0000 0.5000
14 Fe 0.9277 0.7960 0.4134
15 O 0.1530 0.3453 0.8466
16 Fe 0.4182 0.8894 0.2342
17 Fe 0.3114 0.6694 0.6876

***

5.
# BeP2PdO

A PBEsol-optimized structure of BeP2PdO (meta-GGA SCAN, Alexandria).

Calculated values
Raw formation energy   -108 meV/atom
Final energy   -12.940 eV per atom

Cell lengths 2.8653, 4.7087, 4.7087 Å; angles 90.00, 90.00, 90.00 degrees
Element x y z (fractional)
1 O 0.5000 0.0000 0.0000
2 P 0.0000 0.0000 0.5000
3 Pd 0.5000 0.5000 0.5000
4 P 0.0000 0.5000 0.0000
5 Be 0.0000 0.0000 0.0000

***

6.
# NaCoPO4

A PBEsol-optimized structure of NaCoPO4 (meta-GGA SCAN, Alexandria).

Calculated values
Raw formation energy   -2172 meV/atom
Final energy   -10.292 eV per atom
ΔE to the lowest computed polymorph   0.0 kJ per mole of atoms

Cell lengths 4.9934, 6.7621, 8.8365 Å; angles 90.00, 90.00, 90.00 degrees
Element x y z (fractional)
1 Na 0.9691 0.2500 0.6486
2 O 0.6858 0.9365 0.1207
3 O 0.3142 0.4365 0.8793
4 Co 0.5000 0.5000 0.5000
5 O 0.8142 0.5635 0.6207
6 O 0.7539 0.2500 0.8854
7 O 0.8142 0.9365 0.6207
8 O 0.9503 0.7500 0.8539
9 Na 0.5309 0.2500 0.1486
10 Na 0.0309 0.7500 0.3514
11 P 0.0377 0.2500 0.3237
12 Co 0.0000 0.5000 0.0000
13 O 0.6858 0.5635 0.1207
14 P 0.9623 0.7500 0.6763
15 O 0.5497 0.7500 0.3539
16 O 0.1858 0.4365 0.3793
17 P 0.5377 0.7500 0.1763
18 O 0.3142 0.0635 0.8793
19 O 0.4503 0.2500 0.6461
20 Co 0.0000 0.0000 0.0000
21 O 0.2539 0.7500 0.6146
22 P 0.4623 0.2500 0.8237
23 O 0.1858 0.0635 0.3793
24 O 0.7461 0.2500 0.3854
25 O 0.0497 0.2500 0.1461
26 Na 0.4691 0.7500 0.8514
27 O 0.2461 0.7500 0.1146
28 Co 0.5000 0.0000 0.5000

***

7.
# YP2SBr

A PBEsol-optimized structure of YP2SBr (meta-GGA SCAN, Alexandria).

Calculated values
Raw formation energy   400 meV/atom
Final energy   -15.146 eV per atom

Cell lengths 4.9925, 5.3340, 5.3340 Å; angles 90.00, 90.00, 90.00 degrees
Element x y z (fractional)
1 P 0.0000 0.5000 0.0000
2 Y 0.0000 0.0000 0.0000
3 Br 0.5000 0.5000 0.5000
4 P 0.0000 0.0000 0.5000
5 S 0.5000 0.0000 0.0000

***

8.
# CuAsRhBr2

A PBEsol-optimized structure of CuAsRhBr2 (meta-GGA SCAN, Alexandria).

Calculated values
Raw formation energy   871 meV/atom
Final energy   -20.745 eV per atom

Cell lengths 4.6385, 4.7830, 4.7830 Å; angles 90.00, 90.00, 90.00 degrees
Element x y z (fractional)
1 Br 0.0000 0.5000 0.0000
2 As 0.5000 0.0000 0.0000
3 Br 0.0000 0.0000 0.5000
4 Cu 0.0000 0.0000 0.0000
5 Rh 0.5000 0.5000 0.5000

***

9.
# KTlCo3

A PBEsol-optimized structure of KTlCo3 (meta-GGA SCAN, Alexandria).

Calculated values
Energy relative to the elements   11.12 eV per formula unit
Final energy   -24.295 eV per atom

Cell lengths 4.4151, 4.4151, 4.4151 Å; angles 90.00, 90.00, 90.00 degrees
Element x y z (fractional)
1 Co 0.0000 0.5000 0.0000
2 K 0.0000 0.0000 0.0000
3 Co 0.5000 0.0000 0.0000
4 Co 0.0000 0.0000 0.5000
5 Tl 0.5000 0.5000 0.5000

***

10.
# ZrMoPt2Br

A PBEsol-optimized structure of ZrMoPt2Br (meta-GGA SCAN, Alexandria).

Calculated values
Raw formation energy   1103 meV/atom
Final energy   -43.983 eV per atom

Cell lengths 4.6300, 4.6300, 4.7758 Å; angles 90.00, 90.00, 90.00 degrees
Element x y z (fractional)
1 Pt 0.5000 0.0000 0.0000
2 Pt 0.0000 0.5000 0.0000
3 Zr 0.0000 0.0000 0.5000
4 Mo 0.5000 0.5000 0.5000
5 Br 0.0000 0.0000 0.0000

***

11.
# KLiBi3

A PBEsol-optimized structure of KLiBi3 (meta-GGA SCAN, Alexandria).

Calculated values
Energy relative to the elements   -0.57 eV per formula unit
Final energy   -49.406 eV per atom
ΔE to the lowest computed polymorph   0.0 kJ per mole of atoms

Cell lengths 5.2985, 5.2985, 5.2985 Å; angles 90.00, 90.00, 90.00 degrees
Element x y z (fractional)
1 Bi 0.0000 0.5000 0.0000
2 K 0.5000 0.5000 0.5000
3 Li 0.0000 0.0000 0.0000
4 Bi 0.5000 0.0000 0.0000
5 Bi 0.0000 0.0000 0.5000

***

12.
# KAlH6O2F6

A PBEsol-optimized structure of KAlH6O2F6 (meta-GGA SCAN, Alexandria).

Calculated values
Final energy   -6.610 eV per atom

Cell lengths 8.6302, 8.6302, 8.6302 Å; angles 90.00, 90.00, 90.00 degrees
Element x y z (fractional)
1 H 0.8654 0.7976 0.3034
2 H 0.3654 0.7024 0.6966
3 F 0.5636 0.8051 0.9496
4 F 0.9364 0.1949 0.4496
5 H 0.2976 0.3034 0.6346
6 O 0.8093 0.6907 0.3093
7 F 0.5504 0.4364 0.3051
8 H 0.7024 0.6966 0.3654
9 O 0.3093 0.8093 0.6907
10 K 0.5000 0.5000 0.0000
11 F 0.0504 0.4364 0.1949
12 F 0.4364 0.3051 0.5504
13 F 0.1949 0.4496 0.9364
14 F 0.6949 0.0504 0.0636
15 K 0.0000 0.0000 0.0000
16 H 0.6346 0.2976 0.3034
17 F 0.1949 0.0504 0.4364
18 H 0.1346 0.2024 0.6966
19 F 0.0636 0.8051 0.5504
20 H 0.7976 0.3034 0.8654
21 O 0.3093 0.6907 0.1907
22 F 0.8051 0.9496 0.5636
23 H 0.6966 0.1346 0.2024
24 O 0.1907 0.3093 0.6907
25 F 0.6949 0.4496 0.5636
26 H 0.1346 0.2976 0.1966
27 F 0.9364 0.3051 0.9496
28 H 0.1966 0.3654 0.7976
29 O 0.8093 0.8093 0.8093
30 F 0.0504 0.0636 0.6949
31 H 0.6346 0.2024 0.8034
32 F 0.5504 0.0636 0.8051
33 Al 0.0000 0.0000 0.5000
34 H 0.6966 0.3654 0.7024
35 F 0.4496 0.5636 0.6949
36 H 0.2976 0.1966 0.1346
37 H 0.8034 0.8654 0.7024
38 O 0.6907 0.3093 0.8093
39 F 0.8051 0.5504 0.0636
40 F 0.5636 0.6949 0.4496
41 H 0.7976 0.1966 0.3654
42 F 0.3051 0.5504 0.4364
43 H 0.1966 0.1346 0.2976
44 O 0.6907 0.1907 0.3093
45 H 0.2024 0.6966 0.1346
46 H 0.8654 0.7024 0.8034
47 K 0.0000 0.5000 0.5000
48 H 0.3034 0.6346 0.2976
49 K 0.5000 0.0000 0.5000
50 O 0.1907 0.1907 0.1907
51 H 0.3034 0.8654 0.7976
52 H 0.7024 0.8034 0.8654
53 Al 0.5000 0.5000 0.5000
54 H 0.2024 0.8034 0.6346
55 Al 0.0000 0.5000 0.0000
56 F 0.9496 0.9364 0.3051
57 F 0.9496 0.5636 0.8051
58 H 0.3654 0.7976 0.1966
59 F 0.0636 0.6949 0.0504
60 H 0.8034 0.6346 0.2024
61 F 0.3051 0.9496 0.9364
62 F 0.4364 0.1949 0.0504
63 F 0.4496 0.9364 0.1949
64 Al 0.5000 0.0000 0.0000

***

13.
# ScRe3

A PBEsol-optimized structure of ScRe3 (meta-GGA SCAN, Alexandria).

Calculated values
Energy relative to the elements   -0.33 eV per formula unit
Final energy   -56.964 eV per atom

Cell lengths 2.7319, 5.1569, 5.1569 Å; angles 116.95, 100.17, 100.17 degrees
Element x y z (fractional)
1 Re 0.5000 0.5000 0.5000
2 Sc 0.5000 0.0000 0.0000
3 Re 0.0000 0.0000 0.5000
4 Re 0.0000 0.5000 0.0000

***

14.
# Mn3WO6

A PBEsol-optimized structure of Mn3WO6 (meta-GGA SCAN, Alexandria).

Calculated values
Raw formation energy   -2128 meV/atom
Final energy   -18.312 eV per atom

Cell lengths 6.1416, 6.1416, 6.1416 Å; angles 91.65, 91.65, 91.65 degrees
Element x y z (fractional)
1 O 0.2974 0.0787 0.9301
2 Mn 0.9407 0.4411 0.7494
3 Mn 0.7494 0.9407 0.4411
4 Mn 0.0593 0.5589 0.2506
5 O 0.5990 0.4454 0.7960
6 O 0.7026 0.9213 0.0699
7 Mn 0.2506 0.0593 0.5589
8 O 0.9301 0.2974 0.0787
9 O 0.0699 0.7026 0.9213
10 O 0.2040 0.4010 0.5546
11 Mn 0.5589 0.2506 0.0593
12 O 0.4454 0.7960 0.5990
13 W 0.0000 0.0000 0.0000
14 W 0.5000 0.5000 0.5000
15 Mn 0.4411 0.7494 0.9407
16 O 0.4010 0.5546 0.2040
17 O 0.5546 0.2040 0.4010
18 O 0.9213 0.0699 0.7026
19 O 0.0787 0.9301 0.2974
20 O 0.7960 0.5990 0.4454

***

15.
# MgMnTe2

A PBEsol-optimized structure of MgMnTe2 (meta-GGA SCAN, Alexandria).

Calculated values
Raw formation energy   -779 meV/atom
Final energy   -25.212 eV per atom

Cell lengths 4.4931, 4.4931, 6.3152 Å; angles 90.00, 90.00, 90.00 degrees
Element x y z (fractional)
1 Te 0.5000 0.0000 0.7382
2 Mg 0.0000 0.0000 0.0000
3 Te 0.0000 0.5000 0.2618
4 Mn 0.5000 0.5000 0.5000

***

16.
# CsRb2AsCl6

A PBEsol-optimized structure of CsRb2AsCl6 (meta-GGA SCAN, Alexandria).

Calculated values
Raw formation energy   -1556 meV/atom
Final energy   -16.291 eV per atom

Cell lengths 7.9621, 7.9621, 7.9621 Å; angles 60.00, 60.00, 60.00 degrees
Element x y z (fractional)
1 Cl 0.2199 0.2199 0.7801
2 Cl 0.2199 0.7801 0.7801
3 Cs 0.5000 0.5000 0.5000
4 Cl 0.7801 0.2199 0.2199
5 Cl 0.7801 0.7801 0.2199
6 Rb 0.7500 0.7500 0.7500
7 Cl 0.7801 0.2199 0.7801
8 As 0.0000 0.0000 0.0000
9 Cl 0.2199 0.7801 0.2199
10 Rb 0.2500 0.2500 0.2500

***

17.
# ZnAg5

A PBEsol-optimized structure of ZnAg5 (meta-GGA SCAN, Alexandria).

Calculated values
Energy relative to the elements   -0.04 eV per formula unit
Final energy   -28.399 eV per atom
ΔE to the lowest computed polymorph   0.0 kJ per mole of atoms

Cell lengths 2.8480, 2.8480, 11.8695 Å; angles 90.00, 90.00, 90.00 degrees
Element x y z (fractional)
1 Zn 0.5000 0.5000 0.5000
2 Ag 0.5000 0.5000 0.8285
3 Ag 0.0000 0.0000 0.3447
4 Ag 0.0000 0.0000 0.0000
5 Ag 0.5000 0.5000 0.1715
6 Ag 0.0000 0.0000 0.6553

***

18.
# KLiHg2

A PBEsol-optimized structure of KLiHg2 (meta-GGA SCAN, Alexandria).

Calculated values
Energy relative to the elements   -0.91 eV per formula unit
Final energy   -36.990 eV per atom
ΔE to the lowest computed polymorph   11.6 kJ per mole of atoms

Cell lengths 5.3364, 5.3364, 5.3364 Å; angles 60.00, 60.00, 60.00 degrees
Element x y z (fractional)
1 Hg 0.2500 0.2500 0.2500
2 Hg 0.7500 0.7500 0.7500
3 Li 0.0000 0.0000 0.0000
4 K 0.5000 0.5000 0.5000

***

19.
# Ti2BiBRu

A PBEsol-optimized structure of Ti2BiBRu (meta-GGA SCAN, Alexandria).

Calculated values
Energy relative to the elements   1.84 eV per formula unit
Final energy   -30.212 eV per atom

Cell lengths 4.1292, 4.1292, 4.7637 Å; angles 90.00, 90.00, 90.00 degrees
Element x y z (fractional)
1 Ru 0.5000 0.5000 0.5000
2 Bi 0.0000 0.0000 0.5000
3 Ti 0.5000 0.0000 0.0000
4 Ti 0.0000 0.5000 0.0000
5 B 0.0000 0.0000 0.0000

***

20.
# Ga2AsHAu

A PBEsol-optimized structure of Ga2AsHAu (meta-GGA SCAN, Alexandria).

Calculated values
Final energy   -24.318 eV per atom

Cell lengths 4.8746, 4.8746, 5.0670 Å; angles 90.00, 90.00, 90.00 degrees
Element x y z (fractional)
1 Ga 0.5000 0.0000 0.0000
2 Ga 0.0000 0.5000 0.0000
3 Au 0.0000 0.0000 0.0000
4 H 0.5000 0.5000 0.5000
5 As 0.0000 0.0000 0.5000

***

21.
# Re2Sb

A PBEsol-optimized structure of Re2Sb (meta-GGA SCAN, Alexandria).

Calculated values
Raw formation energy   881 meV/atom
Final energy   -58.937 eV per atom
ΔE to the lowest computed polymorph   49.4 kJ per mole of atoms

Cell lengths 5.2998, 5.2998, 5.2998 Å; angles 60.00, 60.00, 60.00 degrees
Element x y z (fractional)
1 Re 0.1250 0.6250 0.1250
2 Sb 0.5000 0.5000 0.5000
3 Sb 0.7500 0.7500 0.7500
4 Re 0.1250 0.1250 0.1250
5 Re 0.1250 0.1250 0.6250
6 Re 0.6250 0.1250 0.1250

***

22.
# Tl2AgAs

A PBEsol-optimized structure of Tl2AgAs (meta-GGA SCAN, Alexandria).

Calculated values
Energy relative to the elements   0.06 eV per formula unit
Final energy   -49.054 eV per atom
ΔE to the lowest computed polymorph   0.0 kJ per mole of atoms

Cell lengths 4.4244, 4.4244, 6.6358 Å; angles 70.53, 70.53, 60.00 degrees
Element x y z (fractional)
1 Ag 0.4630 0.4630 0.6111
2 Tl 0.2280 0.2280 0.3159
3 Tl 0.0183 0.0183 0.9451
4 As 0.7868 0.7868 0.6397

***

23.
# LaNi2Ir

A PBEsol-optimized structure of LaNi2Ir (meta-GGA SCAN, Alexandria).

Calculated values
Energy relative to the elements   -1.88 eV per formula unit
Final energy   -37.107 eV per atom

Cell lengths 4.1893, 4.1904, 5.2774 Å; angles 113.33, 90.00, 119.99 degrees
Element x y z (fractional)
1 La 0.0000 0.0000 0.5000
2 Ni 0.1902 0.3805 0.0705
3 Ni 0.8098 0.6195 0.9295
4 Ir 0.5000 0.0000 0.0000